This record from Alexandria via LeMat-Bulk describes an optimized crystal structure of TcPPb2. The functional is GGA-PBE.

Output
- space group = I-4m2, No. 119
- crystal system = tetragonal
- E_form (meV per atom) = 807
- V (Å³/atom) = 22.394
- E_tot (eV per cell) = -20.0

Structure (CIF):
```
data_TcPPb2
_space_group_name_H-M_alt 'P 1'
_space_group_IT_number 1
_cell_length_a 5.866
_cell_length_b 5.866
_cell_length_c 5.866
_cell_angle_alpha 137.94
_cell_angle_beta 137.94
_cell_angle_gamma 60.99
loop_
_space_group_symop_operation_xyz
'x,y,z'
loop_
_atom_site_label
_atom_site_type_symbol
_atom_site_fract_x
_atom_site_fract_y
_atom_site_fract_z
Tc1 Tc 0.000 0.000 0.000
P1 P 0.250 0.750 0.500
Pb1 Pb 0.500 0.500 0.000
Pb2 Pb 0.750 0.250 0.500
```



This record from Alexandria via LeMat-Bulk describes an optimized crystal structure of Tc2PPb. The functional is GGA-PBE.

Output
- space group = Pmmm, No. 47
- crystal system = orthorhombic
- E_form (meV per atom) = 727
- V (Å³/atom) = 17.195
- E_tot (eV per cell) = -26.9
- ΔE to the lowest computed polymorph (eV/atom) = 0.7214

Structure (CIF):
```
data_Tc2PPb
_space_group_name_H-M_alt 'P 1'
_space_group_IT_number 1
_cell_length_a 3.175
_cell_length_b 4.181
_cell_length_c 5.180
_cell_angle_alpha 90.00
_cell_angle_beta 90.00
_cell_angle_gamma 90.00
loop_
_space_group_symop_operation_xyz
'x,y,z'
loop_
_atom_site_label
_atom_site_type_symbol
_atom_site_fract_x
_atom_site_fract_y
_atom_site_fract_z
Tc1 Tc 0.000 0.000 0.000
Tc2 Tc 0.500 0.000 0.500
P1 P 0.000 0.500 0.500
Pb1 Pb 0.500 0.500 0.000
```



This record from Alexandria via LeMat-Bulk describes an optimized crystal structure of Tc2PPb. The functional is GGA-PBE.

Output
- space group = P4mm, No. 99
- crystal system = tetragonal
- E_form (meV per atom) = 175
- V (Å³/atom) = 17.247
- E_tot (eV per cell) = -29.2
- ΔE to the lowest computed polymorph (eV/atom) = 0.1692

Structure (CIF):
```
data_Tc2PPb
_space_group_name_H-M_alt 'P 1'
_space_group_IT_number 1
_cell_length_a 3.261
_cell_length_b 3.261
_cell_length_c 6.488
_cell_angle_alpha 90.00
_cell_angle_beta 90.00
_cell_angle_gamma 90.00
loop_
_space_group_symop_operation_xyz
'x,y,z'
loop_
_atom_site_label
_atom_site_type_symbol
_atom_site_fract_x
_atom_site_fract_y
_atom_site_fract_z
Tc1 Tc 0.000 0.000 0.000
Tc2 Tc 0.500 0.500 0.268
P1 P 0.000 0.000 0.374
Pb1 Pb 0.500 0.500 0.729
```



This record from Alexandria via LeMat-Bulk describes an optimized crystal structure of Tc2PPb. The functional is GGA-PBE.

Output
- space group = P2/m, No. 10
- crystal system = monoclinic
- E_form (meV per atom) = 228
- V (Å³/atom) = 17.063
- E_tot (eV per cell) = -28.9
- ΔE to the lowest computed polymorph (eV/atom) = 0.2220

Structure (CIF):
```
data_Tc2PPb
_space_group_name_H-M_alt 'P 1'
_space_group_IT_number 1
_cell_length_a 3.149
_cell_length_b 3.665
_cell_length_c 6.102
_cell_angle_alpha 90.00
_cell_angle_beta 104.28
_cell_angle_gamma 90.00
loop_
_space_group_symop_operation_xyz
'x,y,z'
loop_
_atom_site_label
_atom_site_type_symbol
_atom_site_fract_x
_atom_site_fract_y
_atom_site_fract_z
Tc1 Tc 0.147 0.000 0.301
Tc2 Tc 0.853 0.000 0.699
P1 P 0.000 0.500 0.500
Pb1 Pb 0.500 0.500 0.000
```



This record from Alexandria via LeMat-Bulk describes an optimized crystal structure of Tc2PPb. The functional is GGA-PBE.

Output
- space group = Immm, No. 71
- crystal system = orthorhombic
- E_form (meV per atom) = 315
- V (Å³/atom) = 17.397
- E_tot (eV per cell) = -28.6
- ΔE to the lowest computed polymorph (eV/atom) = 0.3090

Structure (CIF):
```
data_Tc2PPb
_space_group_name_H-M_alt 'P 1'
_space_group_IT_number 1
_cell_length_a 5.079
_cell_length_b 5.079
_cell_length_c 5.079
_cell_angle_alpha 142.57
_cell_angle_beta 116.66
_cell_angle_gamma 75.96
loop_
_space_group_symop_operation_xyz
'x,y,z'
loop_
_atom_site_label
_atom_site_type_symbol
_atom_site_fract_x
_atom_site_fract_y
_atom_site_fract_z
Tc1 Tc 0.199 0.199 0.000
Tc2 Tc 0.801 0.801 0.000
P1 P 0.000 0.500 0.500
Pb1 Pb 0.500 0.000 0.500
```



This record from Alexandria via LeMat-Bulk describes an optimized crystal structure of Tc2PPb. The functional is GGA-PBE.

Output
- space group = Cmmm, No. 65
- crystal system = orthorhombic
- E_form (meV per atom) = 182
- V (Å³/atom) = 16.192
- E_tot (eV per cell) = -29.1
- ΔE to the lowest computed polymorph (eV/atom) = 0.1759

Structure (CIF):
```
data_Tc2PPb
_space_group_name_H-M_alt 'P 1'
_space_group_IT_number 1
_cell_length_a 3.059
_cell_length_b 3.059
_cell_length_c 6.921
_cell_angle_alpha 90.00
_cell_angle_beta 90.00
_cell_angle_gamma 90.14
loop_
_space_group_symop_operation_xyz
'x,y,z'
loop_
_atom_site_label
_atom_site_type_symbol
_atom_site_fract_x
_atom_site_fract_y
_atom_site_fract_z
Tc1 Tc 0.000 0.000 0.192
Tc2 Tc 0.000 0.000 0.808
P1 P 0.500 0.500 0.000
Pb1 Pb 0.500 0.500 0.500
```